{
  "formula": "SrIn2Ru",
  "functional": "PBE-GGA",
  "state": "relaxed",
  "lattice_angstrom": [[-0.297, 3.061, 8.992], [2.323, 0.614, 9.195], [3.062, 3.948, 8.084]],
  "species": ["In", "In", "Ru", "Sr"],
  "frac_coords": [[0.991, 0.991, 0.991], [0.237, 0.237, 0.237], [0.508, 0.508, 0.508], [0.764, 0.764, 0.764]],
  "space_group": "R3m (160)",
  "energy_ev_per_atom": -3.8023,
  "mass_density_kg_m3": 6709
}